CeAlGe2 PBE optimized geometry; uncorrected energy = -5.1302 eV/atom; total magnetic moment = 0.05 μB per atom; formation energy from the elements = -0.40 eV per atom; space group = R-3m
1.0
2.205 1.273 4.940
-2.205 1.273 4.940
0.000 -2.546 4.940
Ce Al Ge
1 1 2
Direct
0.000 0.000 0.000
0.500 0.500 0.500
0.222 0.222 0.222
0.778 0.778 0.778